Dy6InCo2 | SCAN | PBEsol geometry

a b c (Å): 8.213 8.213 8.213
angles (deg): 112.18 109.43 106.84
Element x y z (fractional)
Dy 0.029 0.236 0.793
Dy 0.185 0.286 0.471
Dy 0.185 0.714 0.899
Dy 0.324 0.012 0.688
Dy 0.324 0.635 0.312
Dy 0.443 0.236 0.207
Dy 0.557 0.764 0.793
Dy 0.676 0.365 0.688
Dy 0.676 0.988 0.312
Dy 0.815 0.286 0.101
Dy 0.815 0.714 0.529
Dy 0.971 0.764 0.207
In 0.000 0.000 0.000
In 0.500 0.500 0.000
Co 0.114 0.614 0.500
Co 0.340 0.000 0.340
Co 0.660 0.000 0.660
Co 0.886 0.386 0.500

Computed properties:
Total magnetic moment: 0.00 μB/f.u.
Uncorrected energy: -39.689 eV per atom
SG: No. 71
Formation energy from the elements: -0.270 eV/atom